No. 1
A plane-wave DFT calculation with PBE-GGA was carried out for a relaxed Tb14PrCd crystal.

The structure in extended XYZ format:
```
16
Lattice="-3.258 5.428 2.741 -4.023 -2.151 -5.175 -5.334 -6.702 6.933" Properties=species:S:1:pos:R:3 pbc="T T T"
Tb -6.062 0.722 4.792
Tb -6.397 -2.600 1.323
Tb -8.348 0.007 2.342
Tb -7.868 -5.821 1.386
Tb -5.643 -5.227 3.909
Tb -4.112 -1.899 3.758
Tb -7.137 0.170 -1.115
Tb -2.874 -1.749 0.310
Tb -5.591 3.429 -0.987
Tb -7.558 -2.546 4.869
Tb -9.906 -3.309 2.484
Tb -1.515 1.594 0.376
Tb -5.244 -2.524 -2.025
Tb -4.886 0.812 1.395
Cd -3.381 4.216 1.475
Pr -3.733 0.728 -2.167
```

## Properties
- Crystal system: orthorhombic
- Space group: Amm2, No. 38
- DOS at the Fermi energy: 23.5 states/eV per cell
- Energy relative to the elements: 0.4 eV/f.u.

---

No. 2
A plane-wave DFT calculation with PBE-GGA was carried out for a relaxed Tb3Pr5Cd crystal.

The structure in extended XYZ format:
```
18
Lattice="10.141 0.241 0.286 3.008 9.688 0.286 4.634 3.499 7.288" Properties=species:S:1:pos:R:3 pbc="T T T"
Pr 12.357 5.388 3.022
Pr 15.079 11.386 7.312
Pr 8.399 6.342 2.116
Pr 2.705 2.042 0.548
Pr 9.218 3.019 4.838
Pr 8.565 10.409 3.022
Pr 4.840 7.262 0.286
Pr 5.427 8.040 4.838
Pr 9.384 7.086 5.744
Pr 8.309 2.667 0.286
Tb 2.317 1.750 3.644
Tb 5.615 4.239 1.659
Tb 10.992 8.300 3.167
Tb 6.791 5.128 4.694
Tb 12.169 9.189 6.201
Tb 0.000 0.000 0.000
Cd 13.303 10.045 3.443
Cd 4.480 3.383 4.418
```

## Properties
- Crystal system: monoclinic
- Space group: C2/m, No. 12
- DOS at the Fermi energy: 26.6 states/eV per cell
- Energy relative to the elements: 3.9 eV/f.u.

---

No. 3
A plane-wave DFT calculation with PBE-GGA was carried out for a relaxed TbPr2Cd4 crystal.

The structure in extended XYZ format:
```
7
Lattice="5.089 0.000 1.590 2.296 4.542 1.590 -0.095 -0.058 9.242" Properties=species:S:1:pos:R:3 pbc="T T T"
Pr 1.815 1.116 3.130
Pr 5.476 3.367 9.293
Cd 0.865 0.532 6.172
Cd 4.591 2.823 3.186
Cd 6.426 3.952 6.251
Cd 2.700 1.661 9.236
Tb 0.000 0.000 0.000
```

## Properties
- Crystal system: trigonal
- Space group: R-3m, No. 166
- DOS at the Fermi energy: 7.5 states/eV per cell
- Energy relative to the elements: -0.9 eV/f.u.

---

No. 4
A plane-wave DFT calculation with PBE-GGA was carried out for a relaxed TbPr3Cd crystal.

The structure in extended XYZ format:
```
10
Lattice="3.705 -1.163 0.000 -4.958 10.178 0.000 0.000 0.000 10.753" Properties=species:S:1:pos:R:3 pbc="T T T"
Pr 1.521 1.612 10.745
Pr -1.427 5.196 8.064
Pr -2.773 7.403 0.007
Pr 1.521 1.612 5.383
Pr -2.773 7.403 5.369
Pr 0.175 3.819 2.688
Tb -4.176 9.429 8.064
Tb 2.924 -0.414 2.688
Cd -0.347 2.145 8.064
Cd -0.905 6.870 2.688
```

## Properties
- Crystal system: monoclinic
- Space group: P2_1/m, No. 11
- DOS at the Fermi energy: 14.3 states/eV per cell
- Energy relative to the elements: 0.0 eV/f.u.

---

No. 5
A plane-wave DFT calculation with PBE-GGA was carried out for a relaxed Tb4PrCd4 crystal.

The structure in extended XYZ format:
```
18
Lattice="-3.372 1.116 -4.339 -7.474 0.559 5.952 1.618 9.363 1.151" Properties=species:S:1:pos:R:3 pbc="T T T"
Cd -4.472 6.117 4.610
Cd -1.378 8.158 -0.894
Cd -2.821 1.579 -0.585
Cd -5.999 9.324 3.876
Cd -4.991 7.840 -0.912
Cd -1.793 3.940 1.968
Cd -8.260 3.016 3.132
Cd -7.201 4.179 -0.136
Pr 0.000 0.000 0.000
Pr -4.614 5.519 1.382
Tb -6.559 3.850 5.634
Tb -2.343 4.690 -1.051
Tb -6.534 10.069 0.875
Tb 0.280 6.212 0.926
Tb -5.644 1.946 -1.906
Tb -7.309 6.489 3.271
Tb -3.277 8.670 1.608
Tb -5.529 2.228 1.701
```

## Properties
- Crystal system: tetragonal
- Space group: P4_2/n, No. 86
- DOS at the Fermi energy: 12.3 states/eV per cell
- Energy relative to the elements: -1.1 eV/f.u.

---

No. 6
A plane-wave DFT calculation with PBE-GGA was carried out for a relaxed Tb3Pr2Cd crystal.

The structure in extended XYZ format:
```
6
Lattice="-1.940 1.776 2.132 -4.691 -9.982 4.046 6.914 3.831 0.412" Properties=species:S:1:pos:R:3 pbc="T T T"
Pr 0.271 -1.680 4.333
Pr -2.232 -7.473 4.193
Cd -2.180 -1.687 2.110
Tb -2.097 -4.085 4.182
Tb 2.481 -0.077 2.322
Tb -0.130 -0.277 0.112
```

## Properties
- Crystal system: orthorhombic
- Space group: Imm2, No. 44
- DOS at the Fermi energy: 9.5 states/eV per cell
- Energy relative to the elements: 1.7 eV/f.u.